The following is a PBE calculation of crystalline LiLaTa2 at its relaxed geometry, from Alexandria via LeMat-Bulk.

The structure in POSCAR format:
```
LiLaTa2
1.0
5.3505 0.0000 0.0000
0.0000 2.9750 -0.0047
0.0000 1.0179 5.3203
La Li Ta
1 1 2
Cartesian
2.6752 0.9982 1.3289
2.6752 2.9946 3.9867
0.0000 3.7519 5.2026
0.0000 2.2374 2.7708
```

Properties
ρ	10.0	g/cm3
energy above the lowest structure with this stoichiometry	0.202	eV per atom